{
  "formula": "HoSb2P2Pt7",
  "functional": "PBE",
  "state": "optimized geometry",
  "lattice": [[-1.984, 1.984, 14.771], [1.984, -1.984, 14.771], [1.984, 1.984, -14.771]],
  "species": ["Ho", "Sb", "Sb", "P", "P", "Pt", "Pt", "Pt", "Pt", "Pt", "Pt", "Pt"],
  "frac_coords": [[0.000, 0.000, 0.000], [0.211, 0.211, 0.000], [0.789, 0.789, 0.000], [0.381, 0.381, 0.000], [0.619, 0.619, 0.000], [0.074, 0.574, 0.500], [0.303, 0.303, 0.000], [0.426, 0.926, 0.500], [0.500, 0.500, 0.000], [0.574, 0.074, 0.500], [0.697, 0.697, 0.000], [0.926, 0.426, 0.500]],
  "space_group": "No. 139",
  "total_energy_ev_per_atom": -6.203
}

{
  "formula": "SnHgNF2",
  "functional": "PBE",
  "state": "optimized geometry",
  "lattice": [[4.349, 0.000, 0.000], [0.000, 4.349, 0.000], [0.000, 0.000, 4.066]],
  "species": ["Sn", "Hg", "N", "F", "F"],
  "frac_coords": [[0.000, 0.000, 0.000], [0.500, 0.500, 0.500], [0.000, 0.000, 0.500], [0.000, 0.500, 0.000], [0.500, 0.000, 0.000]],
  "relative_energy_mev_per_atom": 0.0,
  "space_group": "No. 123",
  "total_energy_ev_per_atom": -3.932
}

Number 2 is which compound? SnHgNF2